1.
Compound: Sm8Ga2Ag
Source: the Alexandria database
Functional: PBE
Structure: relaxed

Results
Uncorrected energy   -0.3284 Ry per atom
D(E_F)   11.67 states/eV/f.u.
DFT formation energy   -227 meV per atom

Cell: 5.1283 6.8699 9.6043 Å, 100.27 105.48 90.00°
With the nearest neighbours (Å) after each atom.
Fractional coordinates of all 11 atoms:
Sm: 0.4079 0.5418 0.8159  1 Ag 3.29, 8 Sm 3.46-3.62, 2 Ga 3.57
Sm: 0.6606 0.9629 0.3212  3 Ga 3.03-3.08, 1 Ag 3.03
Sm: 0.7984 0.6906 0.5967  3 Ga 3.05-3.27
Sm: 0.9716 0.2417 0.9433  1 Ga 3.09, 2 Ag 3.15
Sm: 0.2016 0.3094 0.4033  3 Ga 3.05-3.27
Sm: 0.3394 0.0371 0.6788  3 Ga 3.03-3.08, 1 Ag 3.03
Sm: 0.5921 0.4582 0.1841  1 Ag 3.29, 8 Sm 3.46-3.62, 2 Ga 3.57
Sm: 0.0284 0.7583 0.0567  1 Ga 3.09, 2 Ag 3.15
Ga: 0.8055 0.2513 0.6111  7 Sm 3.03-3.27
Ga: 0.1945 0.7487 0.3889  7 Sm 3.03-3.27
Ag: 0.5000 0.0000 0.0000  8 Sm 3.03-3.29


2.
Compound: SmGa4Ag
Source: the Alexandria database
Functional: PBE
Structure: relaxed

Results
Uncorrected energy   -0.2645 Ry per atom
D(E_F)   2.19 states/eV/f.u.
ΔE to the lowest computed polymorph   0 meV per atom
DFT formation energy   -319 meV per atom

Cell: 4.2772 5.7627 5.7627 Å, 91.51 68.22 68.22°
With the nearest neighbours (Å) after each atom.
Fractional coordinates of all 6 atoms:
Sm: 0.0000 0.0000 0.0000  12 Ga 3.12-3.23, 2 Ag 3.40
Ga: 0.2043 0.4570 0.1343  4 Ga 2.66-2.78, 2 Ag 2.88
Ga: 0.2043 0.1343 0.4570  4 Ga 2.66-2.78, 2 Ag 2.88
Ga: 0.7957 0.5430 0.8657  4 Ga 2.66-2.78, 2 Ag 2.88
Ga: 0.7957 0.8657 0.5430  4 Ga 2.66-2.78, 2 Ag 2.88
Ag: 0.5000 0.5000 0.5000  8 Ga 2.88


3.
Compound: Sm2GaAg2
Source: the Alexandria database
Functional: PBE
Structure: relaxed

Results
Uncorrected energy   -0.2927 Ry per atom
D(E_F)   5.16 states/eV/f.u.
ΔE to the lowest computed polymorph   0 meV per atom
DFT formation energy   -348 meV per atom

Cell: 4.4664 5.8285 10.3316 Å, 88.54 77.52 67.47°
With the nearest neighbours (Å) after each atom.
Fractional coordinates of all 10 atoms:
Sm: 0.6757 0.3067 0.3419  4 Ga 3.13-3.50, 7 Ag 3.15-3.32
Sm: 0.9206 0.2727 0.8861  6 Ag 3.06-3.30, 2 Ga 3.22
Sm: 0.3243 0.6933 0.6581  4 Ga 3.13-3.50, 7 Ag 3.15-3.32
Sm: 0.0794 0.7273 0.1139  6 Ag 3.06-3.30, 2 Ga 3.22
Ga: 0.6101 0.1132 0.6666  3 Ag 2.63-2.71
Ga: 0.3899 0.8868 0.3334  3 Ag 2.63-2.71
Ag: 0.0887 0.2634 0.5593  2 Ga 2.63, 1 Ag 2.88
Ag: 0.6373 0.8413 0.8841  1 Ga 2.71, 1 Ag 2.81
Ag: 0.9113 0.7366 0.4407  2 Ga 2.63, 1 Ag 2.88
Ag: 0.3627 0.1587 0.1159  1 Ga 2.71, 1 Ag 2.81


4.
Compound: Sm2Ga3Ag2
Source: the Alexandria database
Functional: PBE
Structure: relaxed

Results
Uncorrected energy   -0.2862 Ry per atom
D(E_F)   3.51 states/eV/f.u.
ΔE to the lowest computed polymorph   45 meV per atom
DFT formation energy   -433 meV per atom

Cell: 4.5043 5.8262 6.7102 Å, 111.43 90.00 112.74°
With the nearest neighbours (Å) after each atom.
Fractional coordinates of all 7 atoms:
Sm: 0.8475 0.6950 0.2292  5 Ga 3.10-3.43, 5 Ag 3.16-3.46
Sm: 0.1525 0.3050 0.7708  5 Ga 3.10-3.43, 5 Ag 3.16-3.46
Ga: 0.5000 0.0000 0.0000  2 Ga 2.64, 4 Ag 2.88
Ga: 0.5937 0.1873 0.4283  2 Ga 2.55-2.64, 3 Ag 2.71-2.76
Ga: 0.4063 0.8127 0.5717  2 Ga 2.55-2.64, 3 Ag 2.71-2.76
Ag: 0.8528 0.7056 0.7489  5 Ga 2.71-2.88
Ag: 0.1472 0.2944 0.2511  5 Ga 2.71-2.88


5.
Compound: Sm5GaAg4
Source: the Alexandria database
Functional: PBE
Structure: relaxed

Results
Uncorrected energy   -0.3044 Ry per atom
D(E_F)   7.46 states/eV/f.u.
DFT formation energy   -338 meV per atom

Cell: 3.6810 3.6810 18.6348 Å, 90.00 90.00 90.00°
With the nearest neighbours (Å) after each atom.
Fractional coordinates of all 10 atoms:
Sm: 0.5000 0.5000 0.0960  4 Ga 3.16, 4 Ag 3.22
Sm: 0.5000 0.5000 0.2982  8 Ag 3.21-3.22
Sm: 0.5000 0.5000 0.5000  8 Ag 3.20
Sm: 0.5000 0.5000 0.7018  8 Ag 3.21-3.22
Sm: 0.5000 0.5000 0.9040  4 Ga 3.16, 4 Ag 3.22
Ga: 0.0000 0.0000 0.0000  8 Sm 3.16
Ag: 0.0000 0.0000 0.1977  8 Sm 3.21-3.22
Ag: 0.0000 0.0000 0.3998  8 Sm 3.20-3.22
Ag: 0.0000 0.0000 0.6002  8 Sm 3.20-3.22
Ag: 0.0000 0.0000 0.8023  8 Sm 3.21-3.22


6.
Compound: Tb2SmGa2Ag2
Source: the Alexandria database
Functional: PBE
Structure: relaxed

Results
Uncorrected energy   -0.2979 Ry per atom
D(E_F)   4.68 states/eV/f.u.
DFT formation energy   -377 meV per atom

Cell: 4.6413 4.6413 9.3716 Å, 75.66 75.66 60.00°
With the nearest neighbours (Å) after each atom.
Fractional coordinates of all 7 atoms:
Tb: 0.1261 0.1261 0.6216  3 Ga 3.00, 3 Ag 3.11
Tb: 0.8739 0.8739 0.3784  3 Ga 3.00, 3 Ag 3.11
Sm: 0.0000 0.0000 0.0000  6 Ag 3.24, 6 Ga 3.38, 2 Tb 3.40
Ga: 0.7429 0.7429 0.7712  3 Ag 2.69, 3 Tb 3.00
Ga: 0.2571 0.2571 0.2288  3 Ag 2.69, 3 Tb 3.00
Ag: 0.5989 0.5989 0.2034  3 Ga 2.69
Ag: 0.4011 0.4011 0.7966  3 Ga 2.69


7.
Compound: SmTlGaAg
Source: the Alexandria database
Functional: PBE
Structure: relaxed

Results
Uncorrected energy   -0.2563 Ry per atom
D(E_F)   1.84 states/eV/f.u.
DFT formation energy   -246 meV per atom

Cell: 5.0782 5.0782 5.0782 Å, 60.00 60.00 60.00°
With the nearest neighbours (Å) after each atom.
Fractional coordinates of all 4 atoms:
Tl: 0.5000 0.5000 0.5000  4 Ga 3.11, 4 Ag 3.11
Ga: 0.2500 0.2500 0.2500  4 Sm 3.11, 4 Tl 3.11
Ag: 0.7500 0.7500 0.7500  4 Tl 3.11, 4 Sm 3.11
Sm: 0.0000 0.0000 0.0000  4 Ag 3.11, 4 Ga 3.11


8.
Compound: Sm2TmGa2Ag2
Source: the Alexandria database
Functional: PBE
Structure: relaxed

Results
Uncorrected energy   -0.2965 Ry per atom
D(E_F)   5.14 states/eV/f.u.
DFT formation energy   -367 meV per atom

Cell: 4.6007 4.6007 9.4676 Å, 75.94 75.94 60.00°
With the nearest neighbours (Å) after each atom.
Fractional coordinates of all 7 atoms:
Sm: 0.1244 0.1244 0.6267  3 Ga 3.04, 3 Ag 3.21, 1 Tm 3.39
Sm: 0.8756 0.8756 0.3733  3 Ga 3.04, 3 Ag 3.21, 1 Tm 3.39
Tm: 0.0000 0.0000 0.0000  6 Ag 3.09, 6 Ga 3.28, 2 Sm 3.39
Ga: 0.7371 0.7371 0.7887  3 Ag 2.68
Ga: 0.2629 0.2629 0.2113  3 Ag 2.68
Ag: 0.6086 0.6086 0.1740  3 Ga 2.68
Ag: 0.3913 0.3913 0.8260  3 Ga 2.68


Number 6 is which compound? Tb2SmGa2Ag2